(1)
Below is an optimized crystal structure of Hf2AlZnPd4, with properties calculated at the PBE level.

abc: 4.3041 4.3041 8.5407
angles: 90.00 90.00 120.00
Space group P-3m1 (No. 164)
Symmetry-distinct sites (fractional):
Hf (0.3333, 0.6667, 0.2520) x2
Al (0.0000, 0.0000, 0.0000) x1
Zn (0.0000, 0.0000, 0.5000) x1
Pd (0.3333, 0.6667, 0.5884) x2
Pd (0.3333, 0.6667, 0.9140) x2

Properties
Energy ... -51.50 eV/cell
Crystal system ... trigonal



(2)
Below is an optimized crystal structure of PmHfAl, with properties calculated at the PBE level.

abc: 7.0076 7.0076 7.0076
angles: 90.00 90.00 90.00
Space group F-43m (No. 216)
Symmetry-distinct sites (fractional):
Pm (0.0000, 0.0000, 0.0000) x4
Hf (0.2500, 0.2500, 0.2500) x4
Al (0.2500, 0.2500, 0.7500) x4

Properties
Energy above the most stable polymorph in this dataset ... 219.2 meV per atom
Crystal system ... cubic



(3)
Below is an optimized crystal structure of PmHfAl, with properties calculated at the PBE level.

abc: 6.9412 6.9412 6.9412
angles: 90.00 90.00 90.00
Space group F-43m (No. 216)
Symmetry-distinct sites (fractional):
Pm (0.0000, 0.0000, 0.0000) x4
Hf (0.2500, 0.2500, 0.7500) x4
Al (0.0000, 0.0000, 0.5000) x4

Properties
Energy above the most stable polymorph in this dataset ... 0.0 meV per atom
Crystal system ... cubic



(4)
Below is an optimized crystal structure of Hf2AlPt3, with properties calculated at the PBE level.

abc: 5.3673 5.3673 8.1924
angles: 90.00 90.00 120.00
Space group P6_3/mmc (No. 194)
Symmetry-distinct sites (fractional):
Hf (0.3333, 0.6667, 0.0560) x4
Al (0.0000, 0.0000, 0.0000) x2
Pt (0.1690, 0.3380, 0.7500) x6

Properties
Energy ... -95.26 eV/cell
Crystal system ... hexagonal



(5)
Below is an optimized crystal structure of HfAlPt, with properties calculated at the PBE level.

abc: 6.2953 6.2953 6.2953
angles: 90.00 90.00 90.00
Space group F-43m (No. 216)
Symmetry-distinct sites (fractional):
Hf (0.0000, 0.0000, 0.0000) x4
Al (0.2500, 0.2500, 0.7500) x4
Pt (0.2500, 0.2500, 0.2500) x4

Properties
Energy ... -81.51 eV/cell
Crystal system ... cubic



(6)
Below is an optimized crystal structure of HfAlPt2, with properties calculated at the PBE level.

abc: 6.4272 6.4272 6.4272
angles: 90.00 90.00 90.00
Space group F-43m (No. 216)
Symmetry-distinct sites (fractional):
Hf (0.0000, 0.0000, 0.0000) x4
Al (0.2500, 0.2500, 0.7500) x4
Pt (0.0000, 0.0000, 0.5000) x4
Pt (0.2500, 0.2500, 0.2500) x4

Properties
Energy ... -114.44 eV/cell
Crystal system ... cubic



(7)
Below is an optimized crystal structure of HfAlPt, with properties calculated at the PBE level.

abc: 6.2106 6.2106 6.2106
angles: 90.00 90.00 90.00
Space group F-43m (No. 216)
Symmetry-distinct sites (fractional):
Hf (0.0000, 0.0000, 0.0000) x4
Al (0.0000, 0.0000, 0.5000) x4
Pt (0.2500, 0.2500, 0.7500) x4

Properties
Energy ... -89.50 eV/cell
Crystal system ... cubic



(8)
Below is an optimized crystal structure of Hf6Al16Pt7, with properties calculated at the PBE level.

abc: 12.3846 12.3846 12.3846
angles: 90.00 90.00 90.00
Space group Fm-3m (No. 225)
Symmetry-distinct sites (fractional):
Hf (0.0000, 0.0000, 0.1810) x24
Al (0.1201, 0.1201, 0.3799) x32
Al (0.1646, 0.1646, 0.1646) x32
Pt (0.0000, 0.0000, 0.5000) x4
Pt (0.0000, 0.2500, 0.2500) x24

Properties
Energy ... -749.29 eV/cell
Crystal system ... cubic



(9)
Below is an optimized crystal structure of HfAl2Pt, with properties calculated at the PBE level.

abc: 6.4904 6.4904 6.4904
angles: 90.00 90.00 90.00
Space group F-43m (No. 216)
Symmetry-distinct sites (fractional):
Hf (0.0000, 0.0000, 0.0000) x4
Al (0.0000, 0.0000, 0.5000) x4
Al (0.2500, 0.2500, 0.2500) x4
Pt (0.2500, 0.2500, 0.7500) x4

Properties
Energy ... -102.94 eV/cell
Crystal system ... cubic



(10)
Below is an optimized crystal structure of Hf2Al2Pt, with properties calculated at the PBE level.

abc: 3.5134 3.5134 15.7172
angles: 90.00 90.00 90.00
Space group I4/mmm (No. 139)
Symmetry-distinct sites (fractional):
Hf (0.0000, 0.0000, 0.0983) x4
Al (0.0000, 0.5000, 0.2500) x4
Pt (0.0000, 0.0000, 0.5000) x2

Properties
Energy ... -68.87 eV/cell
Crystal system ... tetragonal



(11)
Below is an optimized crystal structure of HfScAl2Pt4, with properties calculated at the PBE level.

abc: 4.2713 4.2713 8.7333
angles: 90.00 90.00 120.00
Space group P-6m2 (No. 187)
Symmetry-distinct sites (fractional):
Hf (0.0000, 0.0000, 0.0000) x1
Sc (0.6667, 0.3333, 0.5000) x1
Al (0.3333, 0.6667, 0.2572) x2
Pt (0.0000, 0.0000, 0.3366) x2
Pt (0.6667, 0.3333, 0.1593) x2

Properties
Energy ... -57.26 eV/cell
Crystal system ... hexagonal



(12)
Below is an optimized crystal structure of PuHfAl, with properties calculated at the PBE level.

abc: 6.5228 6.5228 6.5228
angles: 90.00 90.00 90.00
Space group F-43m (No. 216)
Symmetry-distinct sites (fractional):
Pu (0.0000, 0.0000, 0.0000) x4
Hf (0.0000, 0.0000, 0.5000) x4
Al (0.2500, 0.2500, 0.7500) x4

Properties
Energy above the most stable polymorph in this dataset ... 0.0 meV per atom
Crystal system ... cubic



(13)
Below is an optimized crystal structure of RbHfAl, with properties calculated at the PBE level.

abc: 7.1843 7.1843 7.1843
angles: 90.00 90.00 90.00
Space group F-43m (No. 216)
Symmetry-distinct sites (fractional):
Rb (0.0000, 0.0000, 0.0000) x4
Hf (0.2500, 0.2500, 0.2500) x4
Al (0.2500, 0.2500, 0.7500) x4

Properties
Energy above the most stable polymorph in this dataset ... 607.2 meV per atom
Crystal system ... cubic



(14)
Below is an optimized crystal structure of RbHfAl, with properties calculated at the PBE level.

abc: 7.3427 7.3427 7.3427
angles: 90.00 90.00 90.00
Space group F-43m (No. 216)
Symmetry-distinct sites (fractional):
Rb (0.0000, 0.0000, 0.0000) x4
Hf (0.0000, 0.0000, 0.5000) x4
Al (0.2500, 0.2500, 0.7500) x4

Properties
Energy above the most stable polymorph in this dataset ... 0.0 meV per atom
Crystal system ... cubic



(15)
Below is an optimized crystal structure of RbHfAlS3, with properties calculated at the PBE level.

abc: 3.6286 15.4715 9.9193
angles: 90.00 90.00 90.00
Space group Cmcm (No. 63)
Symmetry-distinct sites (fractional):
Rb (0.0000, 0.2373, 0.2500) x4
Hf (0.0000, 0.5000, 0.0000) x4
Al (0.0000, 0.0409, 0.7500) x4
S (0.0000, 0.1199, 0.5602) x8
S (0.0000, 0.4479, 0.7500) x4

Properties
Energy ... -134.49 eV/cell
Crystal system ... orthorhombic



(16)
Below is an optimized crystal structure of Hf2AlRe3, with properties calculated at the PBE level.

abc: 5.2507 5.2507 8.5581
angles: 90.00 90.00 120.00
Space group P6_3/mmc (No. 194)
Symmetry-distinct sites (fractional):
Hf (0.3333, 0.6667, 0.0656) x4
Al (0.0000, 0.0000, 0.0000) x2
Re (0.1708, 0.3416, 0.7500) x6

Properties
Energy ... -127.70 eV/cell
Crystal system ... hexagonal



(17)
Below is an optimized crystal structure of Hf2Al3Re, with properties calculated at the PBE level.

abc: 5.2350 5.2350 8.6871
angles: 90.00 90.00 120.00
Space group P6_3/mmc (No. 194)
Symmetry-distinct sites (fractional):
Hf (0.3333, 0.6667, 0.0521) x4
Al (0.1663, 0.3326, 0.7500) x6
Re (0.0000, 0.0000, 0.0000) x2

Properties
Energy ... -92.88 eV/cell
Crystal system ... hexagonal



(18)
Below is an optimized crystal structure of Hf2AlRe, with properties calculated at the PBE level.

abc: 3.3543 3.3543 6.4499
angles: 90.00 90.00 90.00
Space group P4/mmm (No. 123)
Symmetry-distinct sites (fractional):
Hf (0.0000, 0.0000, 0.2393) x2
Al (0.5000, 0.5000, 0.5000) x1
Re (0.5000, 0.5000, 0.0000) x1

Properties
Energy ... -37.77 eV/cell
Crystal system ... tetragonal



(19)
Below is an optimized crystal structure of Hf2AlRe, with properties calculated at the PBE level.

abc: 6.5672 6.5672 6.5672
angles: 90.00 90.00 90.00
Space group F-43m (No. 216)
Symmetry-distinct sites (fractional):
Hf (0.0000, 0.0000, 0.0000) x4
Hf (0.2500, 0.2500, 0.2500) x4
Al (0.0000, 0.0000, 0.5000) x4
Re (0.2500, 0.2500, 0.7500) x4

Properties
Energy ... -146.43 eV/cell
Crystal system ... cubic



(20)
Below is an optimized crystal structure of HfAlRe2, with properties calculated at the PBE level.

abc: 6.3668 6.3668 6.3668
angles: 90.00 90.00 90.00
Space group F-43m (No. 216)
Symmetry-distinct sites (fractional):
Hf (0.0000, 0.0000, 0.0000) x4
Al (0.2500, 0.2500, 0.7500) x4
Re (0.0000, 0.0000, 0.5000) x4
Re (0.2500, 0.2500, 0.2500) x4

Properties
Energy ... -154.78 eV/cell
Crystal system ... cubic



| no. | total magnetization (μB per cell) |
| --- | --- |
| 1 | 0.014 |
| 2 | 0.238 |
| 3 | 7.040 |
| 4 | 1.117 |
| 5 | 0.010 |
| 6 | 0.008 |
| 7 | 4.007 |
| 8 | 0.005 |
| 9 | 0.010 |
| 10 | 0.460 |
| 11 | 0.017 |
| 12 | 22.906 |
| 13 | 0.001 |
| 14 | 1.690 |
| 15 | 0.032 |
| 16 | 0.007 |
| 17 | 0.004 |
| 18 | 0.001 |
| 19 | 0.013 |
| 20 | 0.028 |